[1]
First-principles (PBE-GGA) data for a geometry-optimized ScCrTe structure, as listed in Alexandria.

a b c (Å): 3.6768 3.6768 9.0905
angles (deg): 90.00 90.00 90.00
Closest atoms and distances in Å follow each position.
Space group I4mm (No. 107)
One atom of each set of equivalent atoms:
Sc  0.0000  0.0000  0.0000 [2 per cell]  5 Cr 2.96-3.13, 5 Te 3.01-3.02
Cr  0.0000  0.0000  0.3441 [2 per cell]  5 Te 2.95-3.05, 5 Sc 2.96-3.13
Te  0.0000  0.0000  0.6689 [2 per cell]  5 Cr 2.95-3.05, 5 Sc 3.01-3.02

For the formation energy (no corrections), the calculation gives -0.13 eV/atom. The value obtained for the density of states at the Fermi level is 0.712 states/eV/atom. The value obtained for the magnetic moment is 6.0 μB per cell. The theoretical density is 6.07 g cm⁻³.


[2]
First-principles (PBE-GGA) data for a geometry-optimized ScCrTe2 structure, as listed in Alexandria.

a b c (Å): 4.1745 4.1745 20.1221
angles (deg): 90.00 90.00 120.00
Closest atoms and distances in Å follow each position.
Space group R-3m (No. 166, hexagonal axes)
One atom of each set of equivalent atoms:
Sc  0.0000  0.0000  0.0000 [3 per cell]  6 Te 2.96
Cr  0.0000  0.0000  0.5000 [3 per cell]  6 Te 2.91
Te  0.0000  0.0000  0.2476 [6 per cell]  3 Cr 2.91, 3 Sc 2.96

For the formation energy (no corrections), the calculation gives -0.53 eV/atom. The value obtained for the density of states at the Fermi level is 0.931 states/eV/atom. The value obtained for the magnetic moment is 13.4 μB per cell. The theoretical density is 5.78 g cm⁻³.


[3]
First-principles (PBE-GGA) data for a geometry-optimized ScCrTe2 structure, as listed in Alexandria.

a b c (Å): 7.2820 7.2820 7.2820
angles (deg): 90.00 90.00 90.00
Closest atoms and distances in Å follow each position.
Space group F-43m (No. 216)
One atom of each set of equivalent atoms:
Sc  0.0000  0.0000  0.0000 [4 per cell]  4 Te 3.15, 4 Cr 3.15
Cr  0.2500  0.2500  0.7500 [4 per cell]  4 Te 3.15, 4 Sc 3.15
Te  0.0000  0.0000  0.5000 [4 per cell]  4 Cr 3.15, 4 Te 3.15
Te  0.2500  0.2500  0.2500 [4 per cell]  4 Te 3.15, 4 Sc 3.15

For the formation energy (no corrections), the calculation gives 0.15 eV/atom. The value obtained for the density of states at the Fermi level is 0.607 states/eV/atom. The value obtained for the magnetic moment is 19.0 μB per cell. The theoretical density is 6.06 g cm⁻³.


[4]
First-principles (PBE-GGA) data for a geometry-optimized ScCr3Te structure, as listed in Alexandria.

a b c (Å): 4.8024 4.8024 4.8024
angles (deg): 90.00 90.00 90.00
Closest atoms and distances in Å follow each position.
Space group Pm-3m (No. 221)
One atom of each set of equivalent atoms:
Sc  0.0000  0.0000  0.0000 [1 per cell]  6 Cr 2.40
Cr  0.0000  0.0000  0.5000 [3 per cell]  2 Sc 2.40
Te  0.5000  0.5000  0.5000 [1 per cell]  12 Cr 3.40

For the formation energy (no corrections), the calculation gives 1.52 eV/atom. The value obtained for the density of states at the Fermi level is 1.474 states/eV/atom. The value obtained for the magnetic moment is 10.8 μB per cell. The theoretical density is 4.93 g cm⁻³.


[5]
First-principles (PBE-GGA) data for a geometry-optimized Sc2CrTe structure, as listed in Alexandria.

a b c (Å): 4.2416 4.2416 20.5148
angles (deg): 90.00 90.00 90.00
Closest atoms and distances in Å follow each position.
Space group I-42d (No. 122)
One atom of each set of equivalent atoms:
Sc  0.2449  0.2500  0.1250 [8 per cell]  2 Te 2.96, 4 Sc 2.97-3.03, 2 Cr 2.98
Cr  0.0000  0.0000  0.5000 [4 per cell]  4 Sc 2.98, 4 Te 3.00
Te  0.0000  0.0000  0.0000 [4 per cell]  4 Sc 2.96, 4 Cr 3.00

For the formation energy (no corrections), the calculation gives 0.20 eV/atom. The value obtained for the density of states at the Fermi level is 1.140 states/eV/atom. The value obtained for the magnetic moment is 10.9 μB per cell. The theoretical density is 4.85 g cm⁻³.


[6]
First-principles (PBE-GGA) data for a geometry-optimized Sc2CrTe structure, as listed in Alexandria.

a b c (Å): 6.7829 6.7829 6.7829
angles (deg): 90.00 90.00 90.00
Closest atoms and distances in Å follow each position.
Space group F-43m (No. 216)
One atom of each set of equivalent atoms:
Sc  0.0000  0.0000  0.0000 [4 per cell]  4 Te 2.94, 4 Sc 2.94
Sc  0.2500  0.2500  0.2500 [4 per cell]  4 Cr 2.94, 4 Sc 2.94
Cr  0.0000  0.0000  0.5000 [4 per cell]  4 Te 2.94, 4 Sc 2.94
Te  0.2500  0.2500  0.7500 [4 per cell]  4 Cr 2.94, 4 Sc 2.94

For the formation energy (no corrections), the calculation gives 0.07 eV/atom. The value obtained for the density of states at the Fermi level is 1.272 states/eV/atom. The value obtained for the magnetic moment is 2.9 μB per cell. The theoretical density is 5.74 g cm⁻³.


[7]
First-principles (PBE-GGA) data for a geometry-optimized Sc2CrTe structure, as listed in Alexandria.

a b c (Å): 3.7633 4.4804 10.0021
angles (deg): 90.00 90.00 90.00
Closest atoms and distances in Å follow each position.
Space group Imm2 (No. 44)
One atom of each set of equivalent atoms:
Sc  0.0000  0.0000  0.0000 [2 per cell]  4 Cr 2.93, 4 Sc 3.23-3.27, 4 Te 3.23-3.27
Sc  0.0000  0.5000  0.2322 [2 per cell]  4 Te 2.95, 2 Cr 3.08, 4 Sc 3.23-3.27
Cr  0.0000  0.0000  0.4890 [2 per cell]  2 Te 2.91, 6 Sc 2.93-3.08
Te  0.0000  0.5000  0.7669 [2 per cell]  2 Cr 2.91, 6 Sc 2.95-3.23

For the formation energy (no corrections), the calculation gives -0.21 eV/atom. The value obtained for the density of states at the Fermi level is 1.043 states/eV/atom. The value obtained for the magnetic moment is 6.6 μB per cell. The theoretical density is 5.31 g cm⁻³.


[8]
First-principles (PBE-GGA) data for a geometry-optimized Sc2CrTe structure, as listed in Alexandria.

a b c (Å): 3.3698 3.3698 29.5294
angles (deg): 90.00 90.00 120.00
Closest atoms and distances in Å follow each position.
Space group R-3m (No. 166, hexagonal axes)
One atom of each set of equivalent atoms:
Sc  0.0000  0.0000  0.0971 [6 per cell]  3 Cr 2.83, 1 Te 2.87
Cr  0.0000  0.0000  0.5000 [3 per cell]  6 Sc 2.83
Te  0.0000  0.0000  0.0000 [3 per cell]  2 Sc 2.87

For the formation energy (no corrections), the calculation gives 0.29 eV/atom. The value obtained for the density of states at the Fermi level is 1.587 states/eV/atom. The value obtained for the magnetic moment is 7.4 μB per cell. The theoretical density is 4.62 g cm⁻³.


[9]
First-principles (PBE-GGA) data for a geometry-optimized ScCrTe2 structure, as listed in Alexandria.

a b c (Å): 4.3713 4.3713 22.6215
angles (deg): 90.00 90.00 120.00
Closest atoms and distances in Å follow each position.
Space group R3m (No. 160, hexagonal axes)
One atom of each set of equivalent atoms:
Sc  0.0000  0.0000  0.0000 [3 per cell]  3 Te 2.90, 3 Cr 3.12
Cr  0.0000  0.0000  0.2519 [3 per cell]  3 Te 2.61
Te  0.0000  0.0000  0.5552 [3 per cell]  3 Cr 2.61
Te  0.0000  0.0000  0.7302 [3 per cell]  3 Sc 2.90

For the formation energy (no corrections), the calculation gives -0.30 eV/atom. The value obtained for the density of states at the Fermi level is 0.404 states/eV/atom. The value obtained for the magnetic moment is 14.0 μB per cell. The theoretical density is 4.69 g cm⁻³.


[10]
First-principles (PBE-GGA) data for a geometry-optimized ScCrTe2 structure, as listed in Alexandria.

a b c (Å): 13.0622 3.8896 4.0156
angles (deg): 90.00 90.06 90.00
Closest atoms and distances in Å follow each position.
Space group Cm (No. 8)
One atom of each set of equivalent atoms:
Sc  0.0000  0.0000  0.0000 [2 per cell]  6 Te 2.99-3.01, 2 Cr 3.30-3.31
Cr  0.2991  0.5000  0.4987 [2 per cell]  5 Te 2.81-2.82
Te  0.0843  0.5000  0.5000 [2 per cell]  1 Cr 2.81, 4 Sc 3.00-3.01
Te  0.3257  0.0000  0.9987 [2 per cell]  4 Cr 2.82, 2 Sc 2.99

For the formation energy (no corrections), the calculation gives -0.57 eV/atom. The value obtained for the density of states at the Fermi level is 0.461 states/eV/atom. The value obtained for the magnetic moment is 9.4 μB per cell. The theoretical density is 5.73 g cm⁻³.


> The highest formation energy (no corrections) belongs to which entry?

ScCr3Te


> Which formula does entry 4 have?

ScCr3Te


> Which of these has the highest formation energy (no corrections)?

ScCr3Te


> Among the records above, which one has the highest theoretical density?

ScCrTe